A relaxed structure of POs3Pb, computed with PBE.

Summary:
Crystal system ... cubic
E above lowest polymorph ... 1169 kJ/mol of formula units
ΔE_f ... 3418.5 meV/atom

Cell lengths 4.989, 4.989, 4.989 Å; angles 90.00, 90.00, 90.00 degrees
Space group Pm-3m (No. 221)
Unique sites:
P 0.000 0.000 0.000 (multiplicity 1)
Os 0.000 0.500 0.500 (multiplicity 3)
Pb 0.500 0.500 0.500 (multiplicity 1)

A relaxed structure of TaTl2As, computed with PBE.

Summary:
Crystal system ... monoclinic
E above lowest polymorph ... 201 kJ/mol of formula units
ΔE_f ... 616.9 meV/atom

Cell lengths 5.678, 10.597, 3.360 Å; angles 90.00, 116.92, 90.00 degrees
Space group C2/m (No. 12)
Unique sites:
Ta 0.000 0.000 0.000 (multiplicity 2)
Tl 0.250 0.250 0.500 (multiplicity 4)
As 0.000 0.500 0.000 (multiplicity 2)

A relaxed structure of Tl2MoBr, computed with PBE.

Summary:
Crystal system ... cubic
Uncorrected formation energy ... 0.822 eV per atom
E above lowest polymorph ... 213 kJ/mol of formula units

Cell lengths 7.724, 7.724, 7.724 Å; angles 90.00, 90.00, 90.00 degrees
Space group Fm-3m (No. 225)
Unique sites:
Tl 0.250 0.250 0.250 (multiplicity 8)
Mo 0.000 0.000 0.000 (multiplicity 4)
Br 0.000 0.000 0.500 (multiplicity 4)

A relaxed structure of Ho2CdRuC, computed with PBE.

Summary:
Crystal system ... tetragonal
ΔE_f ... -408.8 meV/atom

Cell lengths 4.993, 4.993, 3.935 Å; angles 90.00, 90.00, 90.00 degrees
Space group P4/mmm (No. 123)
Unique sites:
Ho 0.000 0.500 0.000 (multiplicity 2)
Cd 0.000 0.000 0.500 (multiplicity 1)
Ru 0.500 0.500 0.500 (multiplicity 1)
C 0.500 0.500 0.000 (multiplicity 1)

A relaxed structure of ZnCuP2, computed with PBE.

Summary:
Crystal system ... tetragonal
ΔE_f ... 241.2 meV/atom

Cell lengths 3.460, 3.460, 5.020 Å; angles 90.00, 90.00, 90.00 degrees
Space group P4/mmm (No. 123)
Unique sites:
Zn 0.000 0.000 0.000 (multiplicity 1)
Cu 0.000 0.000 0.500 (multiplicity 1)
P 0.500 0.500 0.285 (multiplicity 2)

A relaxed structure of TiV2Te5, computed with PBE.

Summary:
Crystal system ... orthorhombic
Uncorrected formation energy ... -0.140 eV per atom
E above lowest polymorph ... 126 kJ/mol of formula units

Cell lengths 5.065, 12.916, 14.214 Å; angles 90.00, 90.00, 90.00 degrees
Space group Fmmm (No. 69)
Unique sites:
Ti 0.000 0.000 0.000 (multiplicity 4)
V 0.000 0.000 0.308 (multiplicity 8)
Te 0.000 0.000 0.500 (multiplicity 4)
Te 0.000 0.134 0.158 (multiplicity 16)

A relaxed structure of BP2HS, computed with PBE.

Summary:
Crystal system ... tetragonal
E above lowest polymorph ... 0 kJ/mol of formula units

Cell lengths 3.287, 3.287, 7.501 Å; angles 90.00, 90.00, 90.00 degrees
Space group P4/mmm (No. 123)
Unique sites:
B 0.000 0.000 0.000 (multiplicity 1)
P 0.000 0.500 0.500 (multiplicity 2)
H 0.500 0.500 0.500 (multiplicity 1)
S 0.500 0.500 0.000 (multiplicity 1)

A relaxed structure of Be3IO, computed with PBE.

Summary:
Crystal system ... cubic
Uncorrected formation energy ... 0.475 eV per atom
E above lowest polymorph ... 0 kJ/mol of formula units

Cell lengths 4.005, 4.005, 4.005 Å; angles 90.00, 90.00, 90.00 degrees
Space group Pm-3m (No. 221)
Unique sites:
Be 0.000 0.000 0.500 (multiplicity 3)
I 0.500 0.500 0.500 (multiplicity 1)
O 0.000 0.000 0.000 (multiplicity 1)

A relaxed structure of NdErSiHg, computed with PBE.

Summary:
Crystal system ... cubic
Uncorrected formation energy ... -0.446 eV per atom

Cell lengths 7.322, 7.322, 7.322 Å; angles 90.00, 90.00, 90.00 degrees
Space group F-43m (No. 216)
Unique sites:
Nd 0.000 0.000 0.000 (multiplicity 4)
Er 0.000 0.000 0.500 (multiplicity 4)
Si 0.250 0.250 0.750 (multiplicity 4)
Hg 0.250 0.250 0.250 (multiplicity 4)

A relaxed structure of FeCu2Hg, computed with PBE.

Summary:
Crystal system ... orthorhombic
E above lowest polymorph ... 33 kJ/mol of formula units
ΔE_f ... 348.1 meV/atom

Cell lengths 2.914, 4.544, 8.825 Å; angles 90.00, 90.00, 90.00 degrees
Space group Immm (No. 71)
Unique sites:
Fe 0.000 0.000 0.000 (multiplicity 2)
Cu 0.000 0.500 0.263 (multiplicity 4)
Hg 0.000 0.000 0.500 (multiplicity 2)

A relaxed structure of CeGdTl, computed with PBE.

Summary:
Crystal system ... tetragonal
E above lowest polymorph ... 0 kJ/mol of formula units
ΔE_f ... -101.8 meV/atom

Cell lengths 4.122, 4.122, 10.159 Å; angles 90.00, 90.00, 90.00 degrees
Space group I4mm (No. 107)
Unique sites:
Ce 0.000 0.000 0.000 (multiplicity 2)
Gd 0.000 0.000 0.684 (multiplicity 2)
Tl 0.000 0.000 0.339 (multiplicity 2)

A relaxed structure of MgSc2Rh3, computed with PBE.

Summary:
Crystal system ... tetragonal
E above lowest polymorph ... 4 kJ/mol of formula units
ΔE_f ... -893.1 meV/atom

Cell lengths 3.195, 3.195, 9.547 Å; angles 90.00, 90.00, 90.00 degrees
Space group P4/mmm (No. 123)
Unique sites:
Mg 0.000 0.000 0.000 (multiplicity 1)
Sc 0.000 0.000 0.326 (multiplicity 2)
Rh 0.500 0.500 0.165 (multiplicity 2)
Rh 0.500 0.500 0.500 (multiplicity 1)